No. 1
# UBiRu | Alexandria via LeMat-Bulk | PBE-GGA | relaxed
data_UBiRu
_chemical_formula_sum 'U1 Bi1 Ru1'
_cell_length_a 6.537
_cell_length_b 6.537
_cell_length_c 6.537
_cell_angle_alpha 150.37
_cell_angle_beta 150.37
_cell_angle_gamma 42.40
_space_group_name_H-M_alt 'P 1'
_space_group_IT_number 1
loop_
_space_group_symop_operation_xyz
'x,y,z'
loop_
_atom_site_label
_atom_site_type_symbol
_atom_site_fract_x
_atom_site_fract_y
_atom_site_fract_z
U1 U 0.000 0.000 0.000
Bi1 Bi 0.715 0.715 0.000
Ru1 Ru 0.388 0.388 0.000
# energy above the lowest structure with this stoichiometry: 0.0220 eV per atom
# volume: 22.71 Å³ per atom
# density of states at the Fermi level: 5.02 states/eV/cell
# formation energy from the elements: 0.047 eV/atom

=====

No. 2
# LuThNi | Alexandria via LeMat-Bulk | PBE-GGA | relaxed
data_LuThNi
_chemical_formula_sum 'Lu1 Th1 Ni1'
_cell_length_a 6.488
_cell_length_b 6.488
_cell_length_c 6.488
_cell_angle_alpha 149.28
_cell_angle_beta 149.28
_cell_angle_gamma 44.00
_space_group_name_H-M_alt 'P 1'
_space_group_IT_number 1
loop_
_space_group_symop_operation_xyz
'x,y,z'
loop_
_atom_site_label
_atom_site_type_symbol
_atom_site_fract_x
_atom_site_fract_y
_atom_site_fract_z
Lu1 Lu 0.000 0.000 0.000
Th1 Th 0.725 0.725 0.000
Ni1 Ni 0.365 0.365 0.000
# energy above the lowest structure with this stoichiometry: 0.0000 eV per atom
# volume: 23.68 Å³ per atom
# density of states at the Fermi level: 3.68 states/eV/cell
# formation energy from the elements: -0.204 eV/atom

=====

No. 3
# Cd2H2Se | Alexandria via LeMat-Bulk | PBE-GGA | relaxed
data_Cd2H2Se
_chemical_formula_sum 'Cd2 H2 Se1'
_cell_length_a 6.335
_cell_length_b 6.335
_cell_length_c 6.335
_cell_angle_alpha 146.96
_cell_angle_beta 146.96
_cell_angle_gamma 47.42
_space_group_name_H-M_alt 'P 1'
_space_group_IT_number 1
loop_
_space_group_symop_operation_xyz
'x,y,z'
loop_
_atom_site_label
_atom_site_type_symbol
_atom_site_fract_x
_atom_site_fract_y
_atom_site_fract_z
Cd1 Cd 0.141 0.141 0.000
Cd2 Cd 0.859 0.859 0.000
H1 H 0.250 0.750 0.500
H2 H 0.750 0.250 0.500
Se1 Se 0.500 0.500 0.000
# volume: 15.06 Å³ per atom
# density of states at the Fermi level: 1.22 states/eV/cell
# VASP energy: -2.20 eV/atom

=====

No. 4
# BaCa2La | Alexandria via LeMat-Bulk | PBE-GGA | relaxed
data_BaCa2La
_chemical_formula_sum 'Ba1 Ca2 La1'
_cell_length_a 13.349
_cell_length_b 13.349
_cell_length_c 13.349
_cell_angle_alpha 16.96
_cell_angle_beta 16.96
_cell_angle_gamma 16.96
_space_group_name_H-M_alt 'P 1'
_space_group_IT_number 1
loop_
_space_group_symop_operation_xyz
'x,y,z'
loop_
_atom_site_label
_atom_site_type_symbol
_atom_site_fract_x
_atom_site_fract_y
_atom_site_fract_z
Ba1 Ba 0.000 0.000 0.000
Ca1 Ca 0.246 0.246 0.246
Ca2 Ca 0.421 0.421 0.421
La1 La 0.833 0.833 0.833
# energy above the lowest structure with this stoichiometry: 0.0137 eV per atom
# volume: 44.14 Å³ per atom
# density of states at the Fermi level: 6.17 states/eV/cell
# formation energy from the elements: 0.088 eV/atom

=====

No. 5
# Pm8GaRh3I4 | Alexandria via LeMat-Bulk | PBE-GGA | relaxed
data_Pm8GaRh3I4
_chemical_formula_sum 'Pm8 Ga1 Rh3 I4'
_cell_length_a 9.369
_cell_length_b 9.369
_cell_length_c 9.369
_cell_angle_alpha 53.60
_cell_angle_beta 53.60
_cell_angle_gamma 53.60
_space_group_name_H-M_alt 'P 1'
_space_group_IT_number 1
loop_
_space_group_symop_operation_xyz
'x,y,z'
loop_
_atom_site_label
_atom_site_type_symbol
_atom_site_fract_x
_atom_site_fract_y
_atom_site_fract_z
Pm1 Pm 0.215 0.736 0.736
Pm2 Pm 0.230 0.230 0.230
Pm3 Pm 0.264 0.264 0.785
Pm4 Pm 0.264 0.785 0.264
Pm5 Pm 0.736 0.215 0.736
Pm6 Pm 0.736 0.736 0.215
Pm7 Pm 0.770 0.770 0.770
Pm8 Pm 0.785 0.264 0.264
Ga1 Ga 0.500 0.500 0.500
Rh1 Rh 0.000 0.000 0.500
Rh2 Rh 0.000 0.500 0.000
Rh3 Rh 0.500 0.000 0.000
I1 I 0.000 0.000 0.000
I2 I 0.000 0.500 0.500
I3 I 0.500 0.000 0.500
I4 I 0.500 0.500 0.000
# volume: 30.90 Å³ per atom
# density of states at the Fermi level: 12.64 states/eV/cell
# energy relative to the elements, uncorrected: -0.86 eV/atom

=====

No. 6
# CdRuAu | Alexandria via LeMat-Bulk | PBE-GGA | relaxed
data_CdRuAu
_chemical_formula_sum 'Cd1 Ru1 Au1'
_cell_length_a 6.610
_cell_length_b 6.610
_cell_length_c 6.610
_cell_angle_alpha 154.83
_cell_angle_beta 154.83
_cell_angle_gamma 35.89
_space_group_name_H-M_alt 'P 1'
_space_group_IT_number 1
loop_
_space_group_symop_operation_xyz
'x,y,z'
loop_
_atom_site_label
_atom_site_type_symbol
_atom_site_fract_x
_atom_site_fract_y
_atom_site_fract_z
Cd1 Cd 0.000 0.000 0.000
Ru1 Ru 0.337 0.337 0.000
Au1 Au 0.679 0.679 0.000
# energy above the lowest structure with this stoichiometry: 0.0000 eV per atom
# volume: 17.38 Å³ per atom
# density of states at the Fermi level: 2.02 states/eV/cell
# formation energy from the elements: 0.274 eV/atom

=====

No. 7
# AlIn3S6 | Alexandria via LeMat-Bulk | PBE-GGA | relaxed
data_AlIn3S6
_chemical_formula_sum 'Al2 In6 S12'
_cell_length_a 8.669
_cell_length_b 8.669
_cell_length_c 6.374
_cell_angle_alpha 90.00
_cell_angle_beta 90.00
_cell_angle_gamma 106.94
_space_group_name_H-M_alt 'P 1'
_space_group_IT_number 1
loop_
_space_group_symop_operation_xyz
'x,y,z'
loop_
_atom_site_label
_atom_site_type_symbol
_atom_site_fract_x
_atom_site_fract_y
_atom_site_fract_z
Al1 Al 0.200 0.800 0.500
Al2 Al 0.800 0.200 0.000
In1 In 0.087 0.300 0.437
In2 In 0.300 0.087 0.937
In3 In 0.416 0.584 0.802
In4 In 0.584 0.416 0.302
In5 In 0.700 0.913 0.437
In6 In 0.913 0.700 0.937
S1 S 0.061 0.939 0.695
S2 S 0.119 0.555 0.657
S3 S 0.190 0.810 0.150
S4 S 0.294 0.367 0.106
S5 S 0.367 0.294 0.606
S6 S 0.445 0.881 0.657
S7 S 0.555 0.119 0.157
S8 S 0.633 0.706 0.106
S9 S 0.706 0.633 0.606
S10 S 0.810 0.190 0.650
S11 S 0.881 0.445 0.157
S12 S 0.939 0.061 0.195
# volume: 22.91 Å³ per atom
# energy relative to the elements, uncorrected: -0.56 eV/atom

=====

No. 8
# MgZnMo2 | Alexandria via LeMat-Bulk | PBE-GGA | relaxed
data_MgZnMo2
_chemical_formula_sum 'Mg1 Zn1 Mo2'
_cell_length_a 2.690
_cell_length_b 2.690
_cell_length_c 8.989
_cell_angle_alpha 90.00
_cell_angle_beta 90.00
_cell_angle_gamma 100.12
_space_group_name_H-M_alt 'P 1'
_space_group_IT_number 1
loop_
_space_group_symop_operation_xyz
'x,y,z'
loop_
_atom_site_label
_atom_site_type_symbol
_atom_site_fract_x
_atom_site_fract_y
_atom_site_fract_z
Mg1 Mg 0.000 0.000 0.000
Zn1 Zn 0.000 0.000 0.500
Mo1 Mo 0.500 0.500 0.262
Mo2 Mo 0.500 0.500 0.738
# energy above the lowest structure with this stoichiometry: 0.0987 eV per atom
# volume: 16.01 Å³ per atom
# density of states at the Fermi level: 2.17 states/eV/cell
# formation energy from the elements: 0.226 eV/atom